Record 1
Material: CrNiB
Method: DFT, PBE
State: relaxed

Crystal system   monoclinic
D(E_F)   4.25 states/eV/cell
Total magnetic moment   0.00 Bohr magnetons per cell
VASP energy   -7.504 eV per atom
Calculated formation energy   -143 meV per atom
Density   7105 kg/m³

abc: 4.241 4.241 4.878
angles: 90.86 90.86 40.34
Atoms (fractional coordinates):
Cr (0.000, 0.000, 0.000)
Cr (0.711, 0.711, 0.787)
Ni (0.013, 0.013, 0.495)
Ni (0.294, 0.294, 0.278)
B (0.408, 0.408, 0.721)
B (0.623, 0.623, 0.249)



Record 2
Material: Th2Cr2Fe15
Method: DFT, PBE
State: relaxed

Crystal system   trigonal
D(E_F)   28.72 states/eV/cell
Total magnetic moment   25.97 Bohr magnetons per cell
VASP energy   -8.478 eV per atom
Calculated formation energy   -3 meV per atom
Density   9139 kg/m³

abc: 6.407 6.407 6.407
angles: 81.70 81.70 81.70
Atoms (fractional coordinates):
Th (0.157, 0.157, 0.157)
Th (0.843, 0.843, 0.843)
Cr (0.412, 0.412, 0.412)
Cr (0.588, 0.588, 0.588)
Fe (0.000, 0.500, 0.500)
Fe (0.162, 0.162, 0.656)
Fe (0.162, 0.656, 0.162)
Fe (0.206, 0.500, 0.794)
Fe (0.206, 0.794, 0.500)
Fe (0.344, 0.838, 0.838)
Fe (0.500, 0.000, 0.500)
Fe (0.500, 0.206, 0.794)
Fe (0.500, 0.500, 0.000)
Fe (0.500, 0.794, 0.206)
Fe (0.656, 0.162, 0.162)
Fe (0.794, 0.206, 0.500)
Fe (0.794, 0.500, 0.206)
Fe (0.838, 0.344, 0.838)
Fe (0.838, 0.838, 0.344)



Record 3
Material: Sr2Cr2N3
Method: DFT, PBE
State: relaxed

Crystal system   monoclinic
D(E_F)   4.47 states/eV/cell
Total magnetic moment   0.00 Bohr magnetons per cell
VASP energy   -7.446 eV per atom
Formation energy (no corrections)   -0.65 eV per atom
Density   5281 kg/m³

abc: 5.432 5.432 5.924
angles: 103.24 103.24 36.55
Atoms (fractional coordinates):
Sr (0.102, 0.102, 0.327)
Sr (0.898, 0.898, 0.673)
Cr (0.341, 0.341, 0.089)
Cr (0.659, 0.659, 0.911)
N (0.203, 0.203, 0.790)
N (0.500, 0.500, 0.000)
N (0.797, 0.797, 0.210)



Record 4
Material: Tc2OsPb
Method: DFT, PBE
State: relaxed

Crystal system   orthorhombic
D(E_F)   6.34 states/eV/cell
Total magnetic moment   0.00 Bohr magnetons per cell
VASP energy   -8.119 eV per atom
Calculated formation energy   798 meV per atom
Density   14830 kg/m³

abc: 4.972 4.972 2.948
angles: 90.00 90.00 114.25
Atoms (fractional coordinates):
Tc (0.000, 0.500, 0.000)
Tc (0.500, 0.000, 0.000)
Os (0.000, 0.000, 0.500)
Pb (0.500, 0.500, 0.500)



Record 5
Material: Sc2Mn2Sb
Method: DFT, PBE
State: relaxed

ΔE to the lowest computed polymorph   0 meV per atom
Crystal system   tetragonal
D(E_F)   10.01 states/eV/cell
Total magnetic moment   3.26 Bohr magnetons per cell
VASP energy   -7.217 eV per atom
Formation energy (no corrections)   -0.19 eV per atom
Density   5928 kg/m³

abc: 6.603 6.603 4.131
angles: 90.00 90.00 90.00
Atoms (fractional coordinates):
Sc (0.175, 0.325, 0.000)
Sc (0.325, 0.825, 0.000)
Sc (0.675, 0.175, 0.000)
Sc (0.825, 0.675, 0.000)
Mn (0.109, 0.609, 0.500)
Mn (0.391, 0.109, 0.500)
Mn (0.609, 0.891, 0.500)
Mn (0.891, 0.391, 0.500)
Sb (0.000, 0.000, 0.500)
Sb (0.500, 0.500, 0.500)



Record 6
Material: Sn2RhAu
Method: DFT, PBE
State: relaxed

ΔE to the lowest computed polymorph   130 meV per atom
Crystal system   tetragonal
D(E_F)   4.49 states/eV/cell
Total magnetic moment   0.00 Bohr magnetons per cell
VASP energy   -4.684 eV per atom
Calculated formation energy   -25 meV per atom
Density   10145 kg/m³

abc: 9.397 9.397 9.397
angles: 152.56 152.56 39.20
Atoms (fractional coordinates):
Sn (0.109, 0.625, 0.984)
Sn (0.375, 0.359, 0.484)
Sn (0.641, 0.125, 0.016)
Sn (0.875, 0.891, 0.516)
Rh (0.000, 0.000, 0.000)
Rh (0.750, 0.250, 0.500)
Au (0.250, 0.750, 0.500)
Au (0.500, 0.500, 0.000)